Below is crystalline NaCoAgF6 at its relaxed geometry, with properties calculated at the PBE+U level.

Cell lengths 4.9173, 4.9173, 9.8999 Å; angles 90.00, 90.00, 90.00 degrees
Site moments in Bohr magnetons follow the coordinates.
Fractional positions:
Na1 0.5000 0.5000 0.4986  0.00
Na2 0.0000 0.0000 0.9986  0.00
Co1 0.5000 0.5000 0.8328  0.18
Co2 0.0000 0.0000 0.3328  0.18
Ag1 0.5000 0.5000 0.1735  0.48
Ag2 0.0000 0.0000 0.6735  0.48
F1 0.1792 0.8208 0.4706  0.04
F2 0.8208 0.1792 0.4706  0.04
F3 0.3208 0.3208 0.9706  0.04
F4 0.6792 0.6792 0.9706  0.04
F5 0.1821 0.8179 0.1912  0.07
F6 0.8179 0.1821 0.1912  0.07
F7 0.3179 0.3179 0.6912  0.07
F8 0.6821 0.6821 0.6912  0.07
F9 0.7663 0.2337 0.8357  0.06
F10 0.2337 0.7663 0.8357  0.06
F11 0.7337 0.7337 0.3357  0.06
F12 0.2663 0.2663 0.3357  0.06

Computed properties:
Spin magnetization   2.090 μB/cell
Crystal system   tetragonal
Total DFT energy (no corrections)   -4.0698 eV/atom
DOS at the Fermi energy   5.5 states/eV/cell
V   13.30 A^3/atom
SG   P4_2nm (102)